No. 1
# SmHo4Al2 PBE optimized geometry
data_SmHo4Al2
_chemical_formula_sum 'Sm2 Ho8 Al4'
_symmetry_space_group_name_H-M 'I 4/m m m'
_symmetry_Int_Tables_number 139
_symmetry_space_group_name_Hall '-I 4 2'
_cell_length_a 5.6237
_cell_length_b 5.6237
_cell_length_c 12.7179
_cell_angle_alpha 90.00
_cell_angle_beta 90.00
_cell_angle_gamma 90.00
loop_
_atom_site_label
_atom_site_type_symbol
_atom_site_fract_x
_atom_site_fract_y
_atom_site_fract_z
_atom_site_occupancy
Sm1 Sm 0.0000 0.0000 0.0000 1
Ho1 Ho 0.0000 0.5000 0.0000 1
Ho2 Ho 0.0000 0.5000 0.2500 1
Al1 Al 0.0000 0.0000 0.3849 1
# M_tot, μB per formula unit: 0.000
# DOS at the Fermi energy, states/eV/f.u.: 9.48
# Final energy, eV/atom: -4.081
# Formation energy, eV per atom: 0.279
# Energy relative to the lowest polymorph listed for this composition, kJ/mol of atoms: 46.8
# Calculated volume, Å³ per cell: 402.22

No. 2
# Sm3HoAl2 PBE optimized geometry
data_Sm3HoAl2
_chemical_formula_sum 'Sm6 Ho2 Al4'
_symmetry_space_group_name_H-M 'P m c 21'
_symmetry_Int_Tables_number 26
_cell_length_a 5.1718
_cell_length_b 9.6494
_cell_length_c 6.6286
_cell_angle_alpha 90.00
_cell_angle_beta 90.00
_cell_angle_gamma 90.00
loop_
_symmetry_equiv_pos_as_xyz
'x,y,z'
'-x,-y,z+1/2'
'-x,y,z'
'x,-y,z+1/2'
loop_
_atom_site_label
_atom_site_type_symbol
_atom_site_fract_x
_atom_site_fract_y
_atom_site_fract_z
_atom_site_occupancy
Sm1 Sm 0.0000 0.0410 0.0000 1
Sm2 Sm 0.0000 0.3290 0.3358 1
Sm3 Sm 0.5000 0.1779 0.7162 1
Ho1 Ho 0.5000 0.4569 0.0505 1
Al1 Al 0.0000 0.3527 0.8210 1
Al2 Al 0.5000 0.1498 0.2328 1
# M_tot, μB per formula unit: 0.000
# DOS at the Fermi energy, states/eV/f.u.: 5.23
# Final energy, eV/atom: -4.640
# Formation energy, eV per atom: -0.270
# Energy relative to the lowest polymorph listed for this composition, kJ/mol of atoms: 0.0
# Calculated volume, Å³ per cell: 330.80